Record 1
The following is a PBE-GGA calculation of crystalline Ca3LaGe2 at its relaxed geometry, from the Alexandria database.

Structure (POSCAR):
```
Ca3LaGe2
1.0
4.8155 0.0000 0.0000
0.0000 9.2693 0.0000
0.0000 0.0000 7.7348
Ca La Ge
6 2 4
Direct
0.0000 0.0819 0.0000 Ca
0.0000 0.3153 0.3747 Ca
0.0000 0.6847 0.8747 Ca
0.0000 0.9181 0.5000 Ca
0.5000 0.1710 0.6732 Ca
0.5000 0.8290 0.1732 Ca
0.5000 0.4338 0.0492 La
0.5000 0.5662 0.5492 La
0.0000 0.3651 0.7722 Ge
0.0000 0.6349 0.2722 Ge
0.5000 0.1464 0.2684 Ge
0.5000 0.8536 0.7684 Ge
```

Values from the calculation:
As for the formation energy: -592 meV per atom. Its calculated volume is 28.77 Å³ per atom.

***

Record 2
The following is a PBE-GGA calculation of crystalline Ca3La2Ge4 at its relaxed geometry, from the Alexandria database.

Structure (POSCAR):
```
Ca3La2Ge4
1.0
8.0966 0.0000 0.0000
0.0000 8.0937 0.0000
-2.0894 0.0000 7.3730
Ca La Ge
6 4 8
Direct
0.0000 0.0000 0.0000 Ca
0.0000 0.5000 0.5000 Ca
0.2569 0.1778 0.7486 Ca
0.2569 0.3222 0.2486 Ca
0.7431 0.6778 0.7514 Ca
0.7431 0.8222 0.2514 Ca
0.3011 0.6871 0.9150 La
0.3011 0.8129 0.4150 La
0.6989 0.1871 0.5850 La
0.6989 0.3129 0.0850 La
0.0113 0.6156 0.1210 Ge
0.0113 0.8844 0.6210 Ge
0.4226 0.0276 0.1287 Ge
0.4226 0.4724 0.6287 Ge
0.5774 0.5276 0.3713 Ge
0.5774 0.9724 0.8713 Ge
0.9887 0.1156 0.3790 Ge
0.9887 0.3844 0.8790 Ge
```

Values from the calculation:
As for the formation energy: -780 meV per atom. Its calculated volume is 26.84 Å³ per atom.